Material: CsSb6Pd12
Method: DFT, PBE-GGA
State: relaxed

Cell lengths 7.6973, 7.6973, 7.6973 Å; angles 104.40, 104.40, 104.40 degrees
Fractional coordinates of all 19 atoms:
1 Pd 0.1240 0.5000 0.8760
2 Pd 0.8609 0.5630 0.5630
3 Pd 0.5630 0.5630 0.8609
4 Pd 0.5000 0.1240 0.8760
5 Pd 0.5630 0.8609 0.5630
6 Pd 0.5000 0.8760 0.1240
7 Pd 0.4370 0.4370 0.1391
8 Pd 0.1240 0.8760 0.5000
9 Pd 0.4370 0.1391 0.4370
10 Pd 0.8760 0.5000 0.1240
11 Pd 0.8760 0.1240 0.5000
12 Pd 0.1391 0.4370 0.4370
13 Sb 0.6734 0.2498 0.2498
14 Sb 0.3266 0.7502 0.7502
15 Sb 0.2498 0.6734 0.2498
16 Sb 0.7502 0.3266 0.7502
17 Sb 0.7502 0.7502 0.3266
18 Sb 0.2498 0.2498 0.6734
19 Cs 0.0000 0.0000 0.0000

## Properties
Size of the total moment = 0.00 μB/f.u.
Uncorrected formation energy = -340 meV/atom
DFT total energy = -4.9661 eV/atom



Material: BaNaMn3
Method: DFT, PBE-GGA
State: relaxed

Cell lengths 5.7620, 5.7620, 5.7620 Å; angles 90.00, 90.00, 90.00 degrees
Fractional coordinates of all 5 atoms:
1 Na 0.5000 0.5000 0.5000
2 Ba 0.0000 0.0000 0.0000
3 Mn 0.0000 0.0000 0.5000
4 Mn 0.5000 0.0000 0.0000
5 Mn 0.0000 0.5000 0.0000

## Properties
E_form = 1706 meV/atom
Size of the total moment = 12.28 μB/f.u.
Energy above the most stable polymorph in this dataset = 460 meV per atom
DFT total energy = -4.4442 eV/atom



Material: MgOsRh2
Method: DFT, PBE-GGA
State: relaxed

Cell lengths 4.6788, 4.6788, 4.6788 Å; angles 130.15, 130.15, 73.17 degrees
Fractional coordinates of all 4 atoms:
1 Os 0.2500 0.7500 0.5000
2 Mg 0.7500 0.2500 0.5000
3 Rh 0.5000 0.5000 0.0000
4 Rh 0.0000 0.0000 0.0000

## Properties
E_form = -23 meV/atom
Size of the total moment = 0.71 μB/f.u.
DFT total energy = -6.9045 eV/atom



Material: Na2AgH4
Method: DFT, PBE-GGA
State: relaxed

Cell lengths 3.6735, 3.6735, 6.7029 Å; angles 105.90, 105.90, 90.00 degrees
Fractional coordinates of all 7 atoms:
1 H 0.8381 0.8381 0.6763
2 H 0.0000 0.5000 0.0000
3 H 0.1619 0.1619 0.3237
4 H 0.5000 0.0000 0.0000
5 Na 0.3504 0.3504 0.7007
6 Na 0.6496 0.6496 0.2993
7 Ag 0.0000 0.0000 0.0000

## Properties
Size of the total moment = 0.00 μB/f.u.
Energy above the most stable polymorph in this dataset = 9 meV per atom
DFT total energy = -2.6768 eV/atom



Material: Pr6Os2RuBr3
Method: DFT, PBE-GGA
State: relaxed

Cell lengths 6.9945, 6.9945, 8.4077 Å; angles 97.94, 97.94, 118.23 degrees
Fractional coordinates of all 12 atoms:
1 Ru 0.0000 0.0000 0.0000
2 Br 0.8221 0.1779 0.5000
3 Br 0.1779 0.8221 0.5000
4 Br 0.5000 0.5000 0.5000
5 Pr 0.2394 0.2394 0.7671
6 Pr 0.3994 0.0550 0.1822
7 Pr 0.0550 0.3994 0.1822
8 Pr 0.6006 0.9450 0.8178
9 Pr 0.7606 0.7606 0.2329
10 Pr 0.9450 0.6006 0.8178
11 Os 0.6322 0.3678 0.0000
12 Os 0.3678 0.6322 0.0000

## Properties
Size of the total moment = 0.00 μB/f.u.
Uncorrected formation energy = -668 meV/atom
DFT total energy = -6.1202 eV/atom



Material: MgSc
Method: DFT, PBE-GGA
State: relaxed

Cell lengths 5.1094, 5.1094, 5.1094 Å; angles 59.96, 59.96, 59.96 degrees
Fractional coordinates of all 4 atoms:
1 Sc 0.1249 0.1249 0.1249
2 Sc 0.8751 0.8751 0.8751
3 Mg 0.3748 0.3748 0.3748
4 Mg 0.6252 0.6252 0.6252

## Properties
E_form = 74 meV/atom
Size of the total moment = 0.00 μB/f.u.
DFT total energy = -3.8888 eV/atom